DFT (PBE) results for a relaxed GaH2Rh crystal.

Properties
M_tot in Bohr magnetons per cell: 0.00
Excess energy over the best structure of this formula in the dataset in kJ/mol of formula units: 10

The structure in CIF format:
```
data_GaH2Rh
_chemical_formula_sum 'Ga4 H8 Rh4'
_cell_length_a 3.6752
_cell_length_b 3.6752
_cell_length_c 11.9358
_cell_angle_alpha 90.00
_cell_angle_beta 90.00
_cell_angle_gamma 90.00
_space_group_name_H-M_alt 'I -4 2 d'
_space_group_IT_number 122
_space_group_name_Hall 'I -4 2bw'
loop_
_atom_site_label
_atom_site_type_symbol
_atom_site_fract_x
_atom_site_fract_y
_atom_site_fract_z
Ga1 Ga 0.0000 0.0000 0.0000
H1 H 0.1047 0.2500 0.6250
Rh1 Rh 0.0000 0.0000 0.5000
```

***

DFT (PBE) results for a relaxed GaHRh crystal.

Properties
M_tot in Bohr magnetons per cell: 0.00
Excess energy over the best structure of this formula in the dataset in kJ/mol of formula units: 0

The structure in CIF format:
```
data_GaHRh
_chemical_formula_sum 'Ga1 H1 Rh1'
_cell_length_a 3.1734
_cell_length_b 3.1734
_cell_length_c 3.7992
_cell_angle_alpha 90.00
_cell_angle_beta 90.00
_cell_angle_gamma 120.00
_space_group_name_H-M_alt 'P -6 m 2'
_space_group_IT_number 187
_space_group_name_Hall 'P -6 2'
loop_
_atom_site_label
_atom_site_type_symbol
_atom_site_fract_x
_atom_site_fract_y
_atom_site_fract_z
Ga1 Ga 0.0000 0.0000 0.0000
H1 H 0.3333 0.6667 0.5000
Rh1 Rh 0.6667 0.3333 0.5000
```

***

DFT (PBE) results for a relaxed GaHRh crystal.

Properties
M_tot in Bohr magnetons per cell: 0.00
Excess energy over the best structure of this formula in the dataset in kJ/mol of formula units: 15

The structure in CIF format:
```
data_GaHRh
_chemical_formula_sum 'Ga2 H2 Rh2'
_cell_length_a 3.2238
_cell_length_b 3.2238
_cell_length_c 6.1928
_cell_angle_alpha 90.00
_cell_angle_beta 90.00
_cell_angle_gamma 90.00
_space_group_name_H-M_alt 'P 4/n m m'
_space_group_IT_number 129
loop_
_space_group_symop_operation_xyz
'x,y,z'
'-x,-y,-z'
'-y+1/2,x,z'
'y+1/2,-x,-z'
'-x+1/2,-y+1/2,z'
'x+1/2,y+1/2,-z'
'y,-x+1/2,z'
'-y,x+1/2,-z'
'x+1/2,-y,-z'
'-x+1/2,y,z'
'-y,-x,-z'
'y,x,z'
'-x,y+1/2,-z'
'x,-y+1/2,z'
'y+1/2,x+1/2,-z'
'-y+1/2,-x+1/2,z'
loop_
_atom_site_label
_atom_site_type_symbol
_atom_site_fract_x
_atom_site_fract_y
_atom_site_fract_z
Ga1 Ga 0.2500 0.2500 0.1249
H1 H 0.2500 0.7500 0.5000
Rh1 Rh 0.2500 0.2500 0.6774
```

***

What is the excess energy over the best structure of this formula in the dataset in the second record? 0 kJ/mol of formula units

***

M_tot of number 1 (GaH2Rh)? 0.00 Bohr magnetons per cell